Entry from the Alexandria database: FeHg3Cl at its PBEsol-relaxed geometry (meta-GGA SCAN).

```
FeHg3Cl
1.0
-2.1510 2.8868 -3.5502
-3.4457 -3.6031 -0.8422
-3.0108 2.0611 3.5001
Fe Hg Cl
1 3 1
Cartesian
0.0000 0.0000 0.0000 Fe
-1.7228 -1.8015 -0.4211 Hg
-1.0755 1.4434 -1.7751 Hg
-1.5054 1.0306 1.7501 Hg
-4.3037 0.6724 -0.4461 Cl
```

Calculated values
E_tot: -1.6919 hartree per atom